Record 1
First-principles (GGA-PBE) data for a relaxed PmB2Pt6 crystal, as listed in Alexandria.

Cell: 10.735 10.735 10.735 Å, 90.00 90.00 90.00°
Space group Fd-3m (No. 227, origin choice 2)
Symmetry-distinct sites (fractional):
Pm 0.125 0.125 0.125
B 0.000 0.000 0.500
Pt 0.091 0.375 0.875

Output
The calculation puts the formation energy at -458.5 kJ/mol of formula units. The final energy is -6.567 eV per atom. The offset from the most stable computed form comes out at 170 meV per atom. The crystal system is cubic.

Record 2
First-principles (GGA-PBE) data for a relaxed LiS5Br crystal, as listed in Alexandria.

Cell: 4.306 5.155 10.155 Å, 75.63 85.90 75.09°
Space group P1 (No. 1)
Symmetry-distinct sites (fractional):
Li 0.000 0.000 0.000
S 0.087 0.452 0.785
S 0.209 0.229 0.319
S 0.488 0.287 0.677
S 0.734 0.586 0.637
S 0.926 0.031 0.275
Br 0.571 0.758 0.020

Output
The uncorrected formation energy comes out at -0.217 eV per atom. The final energy is -3.678 eV per atom. The crystal system is triclinic.

Record 3
First-principles (GGA-PBE) data for a relaxed La5Al2Hg2 crystal, as listed in Alexandria.

Cell: 17.203 8.185 8.011 Å, 90.00 90.00 90.00°
Space group Cmce (No. 64)
Symmetry-distinct sites (fractional):
La 0.000 0.000 0.000
La 0.136 0.186 0.324
Al 0.000 0.115 0.614
Hg 0.216 0.000 0.000

Output
The calculation puts the formation energy at -312.0 kJ/mol of formula units. The final energy is -3.995 eV per atom. The crystal system is orthorhombic.

Record 4
First-principles (GGA-PBE) data for a relaxed CaFeCl2 crystal, as listed in Alexandria.

Cell: 3.617 7.147 7.517 Å, 90.00 90.00 90.00°
Space group Cmmm (No. 65)
Symmetry-distinct sites (fractional):
Ca 0.000 0.000 0.000
Fe 0.000 0.000 0.500
Cl 0.000 0.500 0.286

Output
The uncorrected formation energy comes out at -0.531 eV per atom. The final energy is -4.070 eV per atom. The offset from the most stable computed form comes out at 294 meV per atom. The crystal system is orthorhombic.

Record 5
First-principles (GGA-PBE) data for a relaxed NbCrGa3 crystal, as listed in Alexandria.

Cell: 4.552 4.552 4.552 Å, 90.00 90.00 90.00°
Space group Pm-3m (No. 221)
Symmetry-distinct sites (fractional):
Nb 0.000 0.000 0.000
Cr 0.500 0.500 0.500
Ga 0.000 0.500 0.500

Output
The calculation puts the formation energy at 318.5 kJ/mol of formula units. The final energy is -5.095 eV per atom. The offset from the most stable computed form comes out at 0 meV per atom. The crystal system is cubic.

Record 6
First-principles (GGA-PBE) data for a relaxed La6As3Se2I crystal, as listed in Alexandria.

Cell: 19.179 4.370 8.841 Å, 90.00 103.67 90.00°
Space group C2/m (No. 12)
Symmetry-distinct sites (fractional):
La 0.001 0.000 0.225
La 0.165 0.500 0.089
La 0.177 0.500 0.583
As 0.000 0.500 0.000
As 0.163 0.000 0.333
Se 0.167 0.000 0.833
I 0.000 0.500 0.500

Output
The uncorrected formation energy comes out at -1.680 eV per atom. The final energy is -6.016 eV per atom. The crystal system is monoclinic.

Record 7
First-principles (GGA-PBE) data for a relaxed AcCe2Lu crystal, as listed in Alexandria.

Cell: 3.623 3.623 10.093 Å, 90.00 90.00 90.00°
Space group P4/mmm (No. 123)
Symmetry-distinct sites (fractional):
Ac 0.000 0.000 0.000
Ce 0.500 0.500 0.265
Lu 0.000 0.000 0.500

Output
The calculation puts the formation energy at 62.7 kJ/mol of formula units. The final energy is -4.962 eV per atom. The offset from the most stable computed form comes out at 13 meV per atom. The crystal system is tetragonal.

Record 8
First-principles (GGA-PBE) data for a relaxed KNa2Cl crystal, as listed in Alexandria.

Cell: 4.0927 4.0927 33.0738 Å, 90.00 90.00 120.00°
Space group R-3m (No. 166, hexagonal axes)
Symmetry-distinct sites (fractional):
K 0.0000 0.0000 0.0000
Na 0.0000 0.0000 0.1166
Cl 0.0000 0.0000 0.5000

Output
The uncorrected formation energy comes out at -0.759 eV per atom. The final energy is -2.154 eV per atom. The offset from the most stable computed form comes out at 0 meV per atom. The crystal system is trigonal.

Record 9
First-principles (GGA-PBE) data for a relaxed CaPrHgBi crystal, as listed in Alexandria.

Cell: 7.819 7.819 7.819 Å, 90.00 90.00 90.00°
Space group F-43m (No. 216)
Symmetry-distinct sites (fractional):
Ca 0.000 0.000 0.000
Pr 0.000 0.000 0.500
Hg 0.250 0.250 0.250
Bi 0.250 0.250 0.750

Output
The calculation puts the formation energy at -228.3 kJ/mol of formula units. The final energy is -3.333 eV per atom. The crystal system is cubic.

Record 10
First-principles (GGA-PBE) data for a relaxed ZnH crystal, as listed in Alexandria.

Cell: 9.040 9.040 2.763 Å, 90.00 90.00 90.00°
Space group P4/m (No. 83)
Symmetry-distinct sites (fractional):
Zn 0.116 0.373 0.000
Zn 0.123 0.665 0.500
H 0.207 0.488 0.500
H 0.241 0.745 0.000

Output
The final energy is -2.083 eV per atom. The crystal system is tetragonal.

Record 11
First-principles (GGA-PBE) data for a relaxed HfMn2CrP crystal, as listed in Alexandria.

Cell: 4.220 4.220 4.784 Å, 90.00 90.00 90.00°
Space group P4/mmm (No. 123)
Symmetry-distinct sites (fractional):
Hf 0.000 0.000 0.000
Mn 0.000 0.500 0.500
Cr 0.500 0.500 0.000
P 0.000 0.000 0.500

Output
The calculation puts the formation energy at 245.8 kJ/mol of formula units. The final energy is -8.156 eV per atom. The crystal system is tetragonal.

Record 12
First-principles (GGA-PBE) data for a relaxed Hf12Fe6Pb crystal, as listed in Alexandria.

Cell: 8.955 8.955 8.955 Å, 90.00 90.00 90.00°
Space group Im-3 (No. 204)
Symmetry-distinct sites (fractional):
Hf 0.000 0.295 0.196
Fe 0.000 0.123 0.500
Pb 0.000 0.000 0.000

Output
The calculation puts the formation energy at -197.1 kJ/mol of formula units. The final energy is -9.261 eV per atom. The crystal system is cubic.

Record 13
First-principles (GGA-PBE) data for a relaxed CdBPt3 crystal, as listed in Alexandria.

Cell: 4.221 5.654 7.489 Å, 90.00 106.25 90.00°
Space group P2_1/m (No. 11)
Symmetry-distinct sites (fractional):
Cd 0.087 0.250 0.171
B 0.407 0.250 0.817
Pt 0.109 0.750 0.216
Pt 0.307 0.504 0.615

Output
The calculation puts the formation energy at -31.1 kJ/mol of formula units. The final energy is -5.208 eV per atom. The offset from the most stable computed form comes out at 287 meV per atom. The crystal system is monoclinic.

Record 14
First-principles (GGA-PBE) data for a relaxed ScSb2S4 crystal, as listed in Alexandria.

Cell: 5.121 5.121 13.243 Å, 90.00 90.00 90.00°
Space group I4/mmm (No. 139)
Symmetry-distinct sites (fractional):
Sc 0.000 0.000 0.000
Sb 0.000 0.000 0.370
S 0.000 0.000 0.193
S 0.000 0.500 0.000

Output
The uncorrected formation energy comes out at -0.454 eV per atom. The final energy is -4.895 eV per atom. The offset from the most stable computed form comes out at 208 meV per atom. The crystal system is tetragonal.

Record 15
First-principles (GGA-PBE) data for a relaxed Pm6Sm2Y3In crystal, as listed in Alexandria.

Cell: 6.202 10.766 11.866 Å, 90.00 100.11 90.00°
Space group C2/m (No. 12)
Symmetry-distinct sites (fractional):
Pm 0.243 0.000 0.251
Pm 0.246 0.163 0.749
Sm 0.000 0.334 0.500
Y 0.000 0.167 0.000
Y 0.000 0.500 0.000
In 0.000 0.000 0.500

Output
The calculation puts the formation energy at -54.6 kJ/mol of formula units. The final energy is -5.053 eV per atom. The crystal system is monoclinic.

Record 16
First-principles (GGA-PBE) data for a relaxed LiTaO3 crystal, as listed in Alexandria.

Cell: 6.049 6.049 6.049 Å, 90.00 90.00 90.00°
Space group P2_13 (No. 198)
Symmetry-distinct sites (fractional):
Li 0.125 0.375 0.625
Ta 0.084 0.916 0.416
O 0.007 0.719 0.151

Output
The uncorrected formation energy comes out at -2.667 eV per atom. The final energy is -8.395 eV per atom. The crystal system is cubic.

Record 17
First-principles (GGA-PBE) data for a relaxed AcPa2RuN5 crystal, as listed in Alexandria.

Cell: 6.603 6.603 11.944 Å, 90.00 90.00 90.00°
Space group I4/mcm (No. 140)
Symmetry-distinct sites (fractional):
Ac 0.000 0.000 0.250
Pa 0.180 0.320 0.000
Ru 0.000 0.500 0.250
N 0.000 0.000 0.000
N 0.141 0.359 0.375

Output
The uncorrected formation energy comes out at -1.168 eV per atom. The final energy is -9.391 eV per atom. The crystal system is tetragonal.

Record 18
First-principles (GGA-PBE) data for a relaxed VReSbTe2 crystal, as listed in Alexandria.

Cell: 5.121 5.121 5.180 Å, 90.00 90.00 90.00°
Space group P4/mmm (No. 123)
Symmetry-distinct sites (fractional):
V 0.000 0.000 0.000
Re 0.500 0.500 0.500
Sb 0.000 0.000 0.500
Te 0.000 0.500 0.000

Output
The uncorrected formation energy comes out at 1.290 eV per atom. The final energy is -5.105 eV per atom. The offset from the most stable computed form comes out at 0 meV per atom. The crystal system is tetragonal.

Record 19
First-principles (GGA-PBE) data for a relaxed CrCdNi2 crystal, as listed in Alexandria.

Cell: 2.6741 2.6741 25.9778 Å, 90.00 90.00 120.00°
Space group R3m (No. 160, hexagonal axes)
Symmetry-distinct sites (fractional):
Cr 0.0000 0.0000 0.0000
Cd 0.0000 0.0000 0.2378
Ni 0.0000 0.0000 0.4824
Ni 0.0000 0.0000 0.7395

Output
The calculation puts the formation energy at 136.8 kJ/mol of formula units. The final energy is -5.171 eV per atom. The crystal system is trigonal.

Record 20
First-principles (GGA-PBE) data for a relaxed La3MgIn2 crystal, as listed in Alexandria.

Cell: 3.931 3.931 12.043 Å, 90.00 90.00 90.00°
Space group P4/mmm (No. 123)
Symmetry-distinct sites (fractional):
La 0.000 0.000 0.000
La 0.000 0.000 0.335
Mg 0.500 0.500 0.500
In 0.500 0.500 0.173

Output
The calculation puts the formation energy at -219.7 kJ/mol of formula units. The final energy is -4.022 eV per atom. The offset from the most stable computed form comes out at 19 meV per atom. The crystal system is tetragonal.